This record from Alexandria via LeMat-Bulk describes crystalline NaY4 at its relaxed geometry. The functional is PBE.

## Properties
- Symmetry: Pm-3m
- Energy of formation: 0.740 eV per atom
- Energy: -4.696 eV/atom

abc: 5.587 5.587 5.587
angles: 90.00 90.00 90.00
Atoms (fractional coordinates):
Y 0.000 0.000 0.000
Y 0.500 0.000 0.500
Y 0.000 0.500 0.500
Y 0.500 0.500 0.000
Na 0.500 0.500 0.500